# 1
The following is a GGA-PBE calculation of K2Na2La after structural relaxation, from the Alexandria database.

Unit cell a=10.9981 b=10.9981 c=3.7367 alpha=90.00 beta=90.00 gamma=90.00
Sites, in units of the cell vectors:
K  0.1313  0.3687  0.0000
K  0.3687  0.8687  0.0000
K  0.6313  0.1313  0.0000
K  0.8687  0.6313  0.0000
Na  0.1746  0.6746  0.5000
Na  0.3254  0.1746  0.5000
Na  0.6746  0.8254  0.5000
Na  0.8254  0.3254  0.5000
La  0.0000  0.0000  0.0000
La  0.5000  0.5000  0.0000

Summary:
M_tot	0.29	μB per cell
energy	-1.65	eV per atom
ΔH_f (0 K)	303	meV per atom

=====

# 2
The following is a GGA-PBE calculation of CrRe2As after structural relaxation, from the Alexandria database.

Unit cell a=4.8647 b=4.8647 c=4.8647 alpha=134.86 beta=134.86 gamma=65.75
Sites, in units of the cell vectors:
Cr  0.0000  0.0000  0.0000
Re  0.2500  0.7500  0.5000
Re  0.5000  0.5000  0.0000
As  0.7500  0.2500  0.5000

Summary:
M_tot	1.32	μB per cell
energy	-9.41	eV per atom
ΔH_f (0 K)	384	meV per atom

=====

# 3
The following is a GGA-PBE calculation of MgPt4W after structural relaxation, from the Alexandria database.

Unit cell a=5.2329 b=5.2329 c=5.2329 alpha=60.00 beta=60.00 gamma=60.00
Sites, in units of the cell vectors:
Mg  0.0000  0.0000  0.0000
Pt  0.1256  0.6248  0.6248
Pt  0.6248  0.1256  0.6248
Pt  0.6248  0.6248  0.1256
Pt  0.6248  0.6248  0.6248
W  0.2500  0.2500  0.2500

Summary:
M_tot	0.66	μB per cell
energy	-6.41	eV per atom
ΔH_f (0 K)	39	meV per atom

=====

# 4
The following is a GGA-PBE calculation of LiGaP2O after structural relaxation, from the Alexandria database.

Unit cell a=4.7162 b=4.7162 c=3.2874 alpha=90.00 beta=90.00 gamma=90.00
Sites, in units of the cell vectors:
Li  0.0000  0.0000  0.0000
Ga  0.5000  0.5000  0.5000
P  0.0000  0.5000  0.0000
P  0.5000  0.0000  0.0000
O  0.0000  0.0000  0.5000

Summary:
M_tot	0.00	μB per cell
energy	-3.76	eV per atom
uncorrected formation energy	0.379	eV/atom

=====

# 5
The following is a GGA-PBE calculation of Ca5Tl2Hg after structural relaxation, from the Alexandria database.

Unit cell a=6.9561 b=13.1202 c=5.4198 alpha=90.00 beta=90.00 gamma=90.00
Sites, in units of the cell vectors:
Ca  0.0000  0.0000  0.0000
Ca  0.1368  0.2756  0.0000
Ca  0.1631  0.6072  0.5000
Ca  0.3369  0.1072  0.5000
Ca  0.3632  0.7756  0.0000
Ca  0.5000  0.5000  0.0000
Ca  0.6368  0.2244  0.0000
Ca  0.6631  0.8928  0.5000
Ca  0.8369  0.3928  0.5000
Ca  0.8632  0.7244  0.0000
Tl  0.1355  0.8643  0.5000
Tl  0.3645  0.3643  0.5000
Tl  0.6355  0.6357  0.5000
Tl  0.8645  0.1357  0.5000
Hg  0.0000  0.5000  0.0000
Hg  0.5000  0.0000  0.0000

Summary:
M_tot	0.00	μB per cell
energy	-2.27	eV per atom
ΔH_f (0 K)	-393	meV per atom

=====

# 6
The following is a GGA-PBE calculation of BaLa2PaN4 after structural relaxation, from the Alexandria database.

Unit cell a=7.5485 b=7.5485 c=7.5485 alpha=121.48 beta=120.75 gamma=88.08
Sites, in units of the cell vectors:
Ba  0.5000  0.0000  0.0000
Ba  0.5000  0.5000  0.5000
La  0.0000  0.0000  0.0000
La  0.0000  0.0000  0.5000
La  0.0000  0.5000  0.0000
La  0.5000  0.0000  0.5000
Pa  0.0000  0.5000  0.5000
Pa  0.5000  0.5000  0.0000
N  0.1798  0.7011  0.4787
N  0.2398  0.2514  0.5117
N  0.2398  0.7281  0.9883
N  0.2776  0.2989  0.9787
N  0.7224  0.7011  0.0213
N  0.7602  0.2719  0.0117
N  0.7602  0.7486  0.4883
N  0.8202  0.2989  0.5213

Summary:
M_tot	0.00	μB per cell
energy	-8.01	eV per atom
uncorrected formation energy	-1.188	eV/atom

=====

# 7
The following is a GGA-PBE calculation of Rb2URu3O12 after structural relaxation, from the Alexandria database.

Unit cell a=7.5295 b=7.5295 c=7.5295 alpha=57.39 beta=57.39 gamma=57.39
Sites, in units of the cell vectors:
Rb  0.1204  0.1204  0.1204
Rb  0.8796  0.8796  0.8796
U  0.5000  0.5000  0.5000
Ru  0.0000  0.5000  0.5000
Ru  0.5000  0.0000  0.5000
Ru  0.5000  0.5000  0.0000
O  0.1630  0.5749  0.5749
O  0.1952  0.1952  0.5738
O  0.1952  0.5738  0.1952
O  0.4251  0.4251  0.8370
O  0.4251  0.8370  0.4251
O  0.4262  0.8048  0.8048
O  0.5738  0.1952  0.1952
O  0.5749  0.1630  0.5749
O  0.5749  0.5749  0.1630
O  0.8048  0.4262  0.8048
O  0.8048  0.8048  0.4262
O  0.8370  0.4251  0.4251

Summary:
M_tot	0.00	μB per cell
energy	-7.14	eV per atom
uncorrected formation energy	-1.556	eV/atom

=====

# 8
The following is a GGA-PBE calculation of Mg2Al2GeRh5 after structural relaxation, from the Alexandria database.

Unit cell a=9.9396 b=9.9396 c=3.1128 alpha=90.00 beta=90.00 gamma=90.00
Sites, in units of the cell vectors:
Mg  0.1689  0.3311  0.0000
Mg  0.3311  0.8311  0.0000
Mg  0.6689  0.1689  0.0000
Mg  0.8311  0.6689  0.0000
Al  0.1313  0.6313  0.0000
Al  0.3687  0.1313  0.0000
Al  0.6313  0.8687  0.0000
Al  0.8687  0.3687  0.0000
Ge  0.0000  0.0000  0.0000
Ge  0.5000  0.5000  0.0000
Rh  0.0000  0.5000  0.5000
Rh  0.0748  0.8096  0.5000
Rh  0.1904  0.0748  0.5000
Rh  0.3096  0.5748  0.5000
Rh  0.4252  0.3096  0.5000
Rh  0.5000  0.0000  0.5000
Rh  0.5748  0.6904  0.5000
Rh  0.6904  0.4252  0.5000
Rh  0.8096  0.9252  0.5000
Rh  0.9252  0.1904  0.5000

Summary:
M_tot	0.00	μB per cell
energy	-5.85	eV per atom
ΔH_f (0 K)	-643	meV per atom

=====

# 9
The following is a GGA-PBE calculation of GdTl2Pb after structural relaxation, from the Alexandria database.

Unit cell a=3.9986 b=3.9986 c=7.2396 alpha=90.00 beta=90.00 gamma=90.00
Sites, in units of the cell vectors:
Gd  0.0000  0.0000  0.0000
Tl  0.5000  0.5000  0.2537
Tl  0.5000  0.5000  0.7463
Pb  0.0000  0.0000  0.5000

Summary:
M_tot	7.42	μB per cell
energy	-5.78	eV per atom
ΔH_f (0 K)	-145	meV per atom

=====

# 10
The following is a GGA-PBE calculation of Ir3Cl after structural relaxation, from the Alexandria database.

Unit cell a=6.1984 b=6.1984 c=6.1984 alpha=154.56 beta=140.26 gamma=47.78
Sites, in units of the cell vectors:
Ir  0.0000  0.0000  0.0000
Ir  0.2115  0.7115  0.5000
Ir  0.7885  0.2885  0.5000
Cl  0.5000  0.5000  0.0000

Summary:
M_tot	0.00	μB per cell
energy	-6.38	eV per atom
uncorrected formation energy	0.723	eV/atom

=====

# 11
The following is a GGA-PBE calculation of Ca2SmPb after structural relaxation, from the Alexandria database.

Unit cell a=4.9512 b=4.9512 c=5.2130 alpha=90.00 beta=90.00 gamma=90.00
Sites, in units of the cell vectors:
Ca  0.0000  0.5000  0.0000
Ca  0.5000  0.0000  0.0000
Sm  0.0000  0.0000  0.5000
Pb  0.5000  0.5000  0.5000

Summary:
M_tot	0.00	μB per cell
energy	-3.41	eV per atom
ΔH_f (0 K)	-302	meV per atom

=====

# 12
The following is a GGA-PBE calculation of HOs3 after structural relaxation, from the Alexandria database.

Unit cell a=4.1756 b=4.1756 c=4.1756 alpha=60.00 beta=60.00 gamma=60.00
Sites, in units of the cell vectors:
H  0.0000  0.0000  0.0000
Os  0.2500  0.2500  0.2500
Os  0.5000  0.5000  0.5000
Os  0.7500  0.7500  0.7500

Summary:
M_tot	0.00	μB per cell
energy	-8.32	eV per atom

=====

Which value of M_tot does entry 12 give? 0.00 μB per cell